VASP calculation (meta-GGA SCAN) on CaTe at its PBEsol-relaxed geometry.

```
data_CaTe
_cell_length_a 6.2978
_cell_length_b 6.2978
_cell_length_c 6.2978
_cell_angle_alpha 90.00
_cell_angle_beta 90.00
_cell_angle_gamma 90.00
_space_group_name_H-M_alt 'F m -3 m'
_space_group_IT_number 225
_space_group_name_Hall '-F 4 2 3'
loop_
_atom_site_label
_atom_site_type_symbol
_atom_site_fract_x
_atom_site_fract_y
_atom_site_fract_z
_atom_site_occupancy
Ca1 Ca 0.0000 0.0000 0.0000 1
Te1 Te 0.0000 0.0000 0.5000 1
```

Properties
Formation energy (no corrections) = -177.0 kJ/mol of atoms

---

VASP calculation (meta-GGA SCAN) on CaTlTe3 at its PBEsol-relaxed geometry.

```
data_CaTlTe3
_cell_length_a 5.7658
_cell_length_b 5.7658
_cell_length_c 5.7658
_cell_angle_alpha 90.00
_cell_angle_beta 90.00
_cell_angle_gamma 90.00
_space_group_name_H-M_alt 'P m -3 m'
_space_group_IT_number 221
_space_group_name_Hall '-P 4 2 3'
loop_
_atom_site_label
_atom_site_type_symbol
_atom_site_fract_x
_atom_site_fract_y
_atom_site_fract_z
_atom_site_occupancy
Ca1 Ca 0.0000 0.0000 0.0000 1
Tl1 Tl 0.5000 0.5000 0.5000 1
Te1 Te 0.0000 0.0000 0.5000 1
```

Properties
Formation energy (no corrections) = -18.4 kJ/mol of atoms

---

VASP calculation (meta-GGA SCAN) on Ca2TlTe2 at its PBEsol-relaxed geometry.

```
data_Ca2TlTe2
_cell_length_a 8.6342
_cell_length_b 8.6342
_cell_length_c 4.0388
_cell_angle_alpha 90.00
_cell_angle_beta 90.00
_cell_angle_gamma 90.00
_space_group_name_H-M_alt 'P 4/m b m'
_space_group_IT_number 127
_space_group_name_Hall '-P 4 2ab'
loop_
_atom_site_label
_atom_site_type_symbol
_atom_site_fract_x
_atom_site_fract_y
_atom_site_fract_z
_atom_site_occupancy
Ca1 Ca 0.1524 0.3476 0.0000 1
Tl1 Tl 0.0000 0.0000 0.5000 1
Te1 Te 0.1497 0.6497 0.5000 1
```

Properties
Formation energy (no corrections) = -115.3 kJ/mol of atoms

---

VASP calculation (meta-GGA SCAN) on Ca2TlTe at its PBEsol-relaxed geometry.

```
data_Ca2TlTe
_cell_length_a 7.6918
_cell_length_b 7.6918
_cell_length_c 7.6918
_cell_angle_alpha 90.00
_cell_angle_beta 90.00
_cell_angle_gamma 90.00
_space_group_name_H-M_alt 'F m -3 m'
_space_group_IT_number 225
_space_group_name_Hall '-F 4 2 3'
loop_
_atom_site_label
_atom_site_type_symbol
_atom_site_fract_x
_atom_site_fract_y
_atom_site_fract_z
_atom_site_occupancy
Ca1 Ca 0.2500 0.2500 0.2500 1
Tl1 Tl 0.0000 0.0000 0.0000 1
Te1 Te 0.0000 0.0000 0.5000 1
```

Properties
Formation energy (no corrections) = -76.6 kJ/mol of atoms
Offset from the most stable computed form = 196 meV per atom

---

VASP calculation (meta-GGA SCAN) on Ca2TlTe at its PBEsol-relaxed geometry.

```
data_Ca2TlTe
_cell_length_a 3.9271
_cell_length_b 3.9271
_cell_length_c 7.3222
_cell_angle_alpha 90.00
_cell_angle_beta 90.06
_cell_angle_gamma 90.00
_space_group_name_H-M_alt 'P 1 2/m 1'
_space_group_IT_number 10
_space_group_name_Hall '-P 2y'
loop_
_atom_site_label
_atom_site_type_symbol
_atom_site_fract_x
_atom_site_fract_y
_atom_site_fract_z
_atom_site_occupancy
Ca1 Ca 0.9996 0.0000 0.2464 1
Tl1 Tl 0.5000 0.5000 0.5000 1
Te1 Te 0.5000 0.5000 0.0000 1
```

Properties
Formation energy (no corrections) = -95.6 kJ/mol of atoms
Offset from the most stable computed form = 0 meV per atom

---

VASP calculation (meta-GGA SCAN) on CaTl2Te at its PBEsol-relaxed geometry.

```
data_CaTl2Te
_cell_length_a 7.6945
_cell_length_b 7.6945
_cell_length_c 7.6945
_cell_angle_alpha 90.00
_cell_angle_beta 90.00
_cell_angle_gamma 90.00
_space_group_name_H-M_alt 'F -4 3 m'
_space_group_IT_number 216
_space_group_name_Hall 'F -4 2 3'
loop_
_atom_site_label
_atom_site_type_symbol
_atom_site_fract_x
_atom_site_fract_y
_atom_site_fract_z
_atom_site_occupancy
Ca1 Ca 0.0000 0.0000 0.0000 1
Tl1 Tl 0.0000 0.0000 0.5000 1
Tl2 Tl 0.2500 0.2500 0.2500 1
Te1 Te 0.2500 0.2500 0.7500 1
```

Properties
Formation energy (no corrections) = -43.1 kJ/mol of atoms

---

VASP calculation (meta-GGA SCAN) on CaTe2W at its PBEsol-relaxed geometry.

```
data_CaTe2W
_cell_length_a 4.2360
_cell_length_b 4.2360
_cell_length_c 19.3557
_cell_angle_alpha 90.00
_cell_angle_beta 90.00
_cell_angle_gamma 120.00
_space_group_name_H-M_alt 'R -3 m'
_space_group_IT_number 166
_space_group_name_Hall '-R 3 2"'
loop_
_atom_site_label
_atom_site_type_symbol
_atom_site_fract_x
_atom_site_fract_y
_atom_site_fract_z
_atom_site_occupancy
Ca1 Ca 0.0000 0.0000 0.0000 1
Te1 Te 0.0000 0.0000 0.2359 1
W1 W 0.0000 0.0000 0.5000 1
```

Properties
Formation energy (no corrections) = -18.3 kJ/mol of atoms
Offset from the most stable computed form = 0 meV per atom

---

VASP calculation (meta-GGA SCAN) on CaTeW2 at its PBEsol-relaxed geometry.

```
data_CaTeW2
_cell_length_a 3.5785
_cell_length_b 3.5785
_cell_length_c 6.4080
_cell_angle_alpha 90.00
_cell_angle_beta 90.00
_cell_angle_gamma 90.00
_space_group_name_H-M_alt 'P 4/m m m'
_space_group_IT_number 123
_space_group_name_Hall '-P 4 2'
loop_
_atom_site_label
_atom_site_type_symbol
_atom_site_fract_x
_atom_site_fract_y
_atom_site_fract_z
_atom_site_occupancy
Ca1 Ca 0.0000 0.0000 0.0000 1
Te1 Te 0.0000 0.0000 0.5000 1
W1 W 0.5000 0.5000 0.3061 1
```

Properties
Formation energy (no corrections) = 97.2 kJ/mol of atoms

---

> The lowest formation energy (no corrections) belongs to which entry?

CaTe

---

> What is the formula in the third record?

Ca2TlTe2